4
Lattice="0.000 3.194 3.194 3.194 0.000 3.194 3.194 3.194 0.000" Properties=species:S:1:pos:R:3 comment="Hf2VH, optimized geometry, DFT PBE-GGA" e_tot_ev_per_cell=-29.7 m_tot_mub_per_cell=1.920 de_polymorph_mev_per_atom=561.8 pbc="T T T"
Hf 1.597 1.597 1.597
Hf 4.791 4.791 4.791
V 0.000 0.000 0.000
H 3.194 3.194 3.194